Computed, not measured: a geometry-optimized LaPr2In structure at the PBE level of DFT.

Output
* symmetry: No. 160
* total magnetic moment: 0.002 Bohr magnetons per cell
* energy above the most stable polymorph in this dataset: 170 meV per atom
* energy of formation: -0.115 eV/atom
* DFT total energy: -17.7 eV/cell

The structure in extended XYZ format:
```
4
Lattice="-1.886 0.909 3.145 -2.223 -2.555 1.675 7.290 -4.018 7.804" Properties=species:S:1:pos:R:3 pbc="T T T"
La 1.597 -2.834 6.317
Pr 5.327 -3.232 6.399
Pr 0.585 -1.332 3.006
In -2.738 -1.097 3.214
```